Record 1
Here is a relaxed La3Ga2Si2 crystal from Alexandria. Energies are from PBE.

Properties
Raw formation energy (eV/atom): -0.683
Magnetic moment (μB/atom): 0.000
Density of states at the Fermi level (states/eV/cell): 5.26

extended XYZ file:
```
7
Lattice="5.622 -2.229 0.000 5.622 2.229 0.000 -2.944 0.000 6.977" Properties=species:S:1:pos:R:3 pbc="T T T"
La 0.000 0.000 0.000
La 0.201 0.000 4.325
La 8.098 0.000 2.652
Ga 3.277 0.000 0.474
Ga 5.022 0.000 6.503
Si 3.464 0.000 4.588
Si 4.835 0.000 2.389
```

---

Record 2
Here is a relaxed La3Ga2Si3 crystal from Alexandria. Energies are from PBE.

Properties
Raw formation energy (eV/atom): -0.665
Magnetic moment (μB/atom): 0.000
Density of states at the Fermi level (states/eV/cell): 10.30

extended XYZ file:
```
16
Lattice="2.114 -5.690 0.000 2.114 5.690 0.000 0.000 0.000 15.725" Properties=species:S:1:pos:R:3 pbc="T T T"
La 2.114 5.156 11.794
La 2.114 1.703 9.291
La 2.114 1.703 14.296
La 2.114 -1.703 1.428
La 2.114 -1.703 6.434
La 2.114 -5.156 3.931
Ga 2.114 1.609 1.871
Ga 2.114 1.609 5.991
Ga 2.114 -1.609 9.733
Ga 2.114 -1.609 13.854
Si 2.114 4.924 8.741
Si 2.114 4.924 14.846
Si 2.114 3.086 3.931
Si 2.114 -3.086 11.794
Si 2.114 -4.924 0.879
Si 2.114 -4.924 6.983
```

---

Record 3
Here is a relaxed La3Ga2Si4 crystal from Alexandria. Energies are from PBE.

Properties
Raw formation energy (eV/atom): -0.686
Magnetic moment (μB/atom): 0.000
Density of states at the Fermi level (states/eV/cell): 4.76

extended XYZ file:
```
9
Lattice="5.678 -2.111 0.000 5.678 2.111 0.000 -1.199 0.000 8.344" Properties=species:S:1:pos:R:3 pbc="T T T"
La 0.000 0.000 0.000
La 3.402 0.000 2.753
La 6.755 0.000 5.590
Ga 3.525 0.000 6.020
Ga 6.632 0.000 2.323
Si 0.165 0.000 3.263
Si 2.010 0.000 7.935
Si 8.146 0.000 0.408
Si 9.991 0.000 5.080
```

---

Record 4
Here is a relaxed LaGaSi crystal from Alexandria. Energies are from PBE.

Properties
Raw formation energy (eV/atom): -0.727
Magnetic moment (μB/atom): 0.000
Density of states at the Fermi level (states/eV/cell): 0.68

extended XYZ file:
```
6
Lattice="3.055 -3.056 0.000 3.055 3.056 0.000 -3.054 0.000 7.218" Properties=species:S:1:pos:R:3 pbc="T T T"
La 1.528 2.294 3.609
La 3.055 -2.294 0.000
Ga -0.004 0.759 6.018
Ga 1.523 -0.759 2.409
Si 3.061 0.761 1.214
Si 1.534 -0.761 4.824
```